Compound: ScHRh3
Source: Alexandria
Functional: PBE
Structure: optimized geometry

The structure in POSCAR format:
```
ScHRh3
1.0
4.8886 -2.8304 0.0000
4.8886 2.8304 0.0000
-3.2363 0.0000 4.6202
Sc H Rh
2 2 6
Direct
0.0000 0.0000 0.0000
0.5030 0.5030 0.4972
0.1471 0.1471 0.8532
0.2895 0.2895 0.7127
0.5079 0.5079 0.0046
0.5075 0.9959 0.4923
0.5191 0.9946 0.0056
0.9946 0.5191 0.0056
0.9946 0.9946 0.4811
0.9959 0.5075 0.4923
```

Computed properties:
The density of states at the Fermi level comes out at 4.03 states/eV/f.u. The value obtained for the size of the total moment is 0.000 μB per atom. Its total DFT energy (no corrections) is -6.877 eV per atom. As for the space group: Cm (8).

---

Compound: Mg2ScZn2Rh5
Source: Alexandria
Functional: PBE
Structure: optimized geometry

The structure in POSCAR format:
```
Mg2ScZn2Rh5
1.0
9.1967 0.0000 0.0000
0.0000 9.1967 0.0000
0.0000 0.0000 3.7812
Mg Sc Zn Rh
4 2 4 10
Direct
0.1681 0.3319 0.0000
0.3319 0.8319 0.0000
0.6681 0.1681 0.0000
0.8319 0.6681 0.0000
0.0000 0.0000 0.0000
0.5000 0.5000 0.0000
0.1271 0.6271 0.0000
0.3729 0.1271 0.0000
0.6271 0.8729 0.0000
0.8729 0.3729 0.0000
0.0000 0.5000 0.5000
0.0858 0.8053 0.5000
0.1947 0.0858 0.5000
0.3053 0.5858 0.5000
0.4142 0.3053 0.5000
0.5000 0.0000 0.5000
0.5858 0.6947 0.5000
0.6947 0.4142 0.5000
0.8053 0.9142 0.5000
0.9142 0.1947 0.5000
```

Computed properties:
The density of states at the Fermi level comes out at 7.12 states/eV/f.u. The value obtained for the size of the total moment is 0.000 μB per atom. Its total DFT energy (no corrections) is -5.272 eV per atom. The calculation puts the formation enthalpy at 0 K at -0.389 eV/atom. As for the space group: P4/mbm (127).

---

Compound: Pm12Tl2Ge5
Source: Alexandria
Functional: PBE
Structure: optimized geometry

The structure in POSCAR format:
```
Pm12Tl2Ge5
1.0
8.6982 -3.5579 0.0000
8.6982 3.5579 0.0000
-2.5891 0.0000 9.5472
Pm Tl Ge
12 2 5
Direct
0.0057 0.0057 0.2632
0.0581 0.5748 0.8979
0.0965 0.6107 0.4565
0.3893 0.9035 0.5435
0.4103 0.4103 0.2041
0.4252 0.9419 0.1021
0.5748 0.0581 0.8979
0.5897 0.5897 0.7959
0.6107 0.0965 0.4565
0.9035 0.3893 0.5435
0.9419 0.4252 0.1021
0.9943 0.9943 0.7368
0.2804 0.7196 0.0000
0.7196 0.2804 0.0000
0.1705 0.1705 0.8133
0.2084 0.2084 0.3500
0.5000 0.5000 0.5000
0.7916 0.7916 0.6500
0.8295 0.8295 0.1867
```

Computed properties:
The density of states at the Fermi level comes out at 19.70 states/eV/f.u. The value obtained for the size of the total moment is 0.000 μB per atom. Its total DFT energy (no corrections) is -4.835 eV per atom. The calculation puts the formation enthalpy at 0 K at -0.371 eV/atom. As for the space group: C2/m (12).

---

Compound: NaMgV
Source: Alexandria
Functional: PBE
Structure: optimized geometry

The structure in POSCAR format:
```
NaMgV
1.0
2.9728 0.0000 0.0000
-0.8146 5.8065 0.0000
-0.5781 -2.7116 7.8210
Na Mg V
2 2 2
Direct
0.2042 0.3147 0.1189
0.7958 0.6853 0.8811
0.4671 0.9228 0.2999
0.5329 0.0772 0.7001
0.1195 0.3680 0.5198
0.8805 0.6320 0.4802
```

Computed properties:
The density of states at the Fermi level comes out at 1.87 states/eV/f.u. The value obtained for the size of the total moment is 0.000 μB per atom. Its total DFT energy (no corrections) is -3.601 eV per atom. The calculation puts the formation enthalpy at 0 K at 0.410 eV/atom. As for the space group: P-1 (2).

---

Compound: AcPu5Au6
Source: Alexandria
Functional: PBE
Structure: optimized geometry

The structure in POSCAR format:
```
AcPu5Au6
1.0
5.1976 0.0000 0.0000
0.0000 7.4207 0.0000
-2.3530 0.0000 7.8000
Ac Pu Au
1 5 6
Direct
0.0000 0.0000 0.0000
0.0000 0.5000 0.0000
0.3414 0.0000 0.6525
0.3521 0.5000 0.6693
0.6479 0.5000 0.3307
0.6586 0.0000 0.3475
0.1493 0.2579 0.3385
0.1493 0.7421 0.3385
0.5000 0.2576 0.0000
0.5000 0.7424 0.0000
0.8507 0.2579 0.6615
0.8507 0.7421 0.6615
```

Computed properties:
The density of states at the Fermi level comes out at 52.71 states/eV/f.u. The value obtained for the size of the total moment is 2.429 μB per atom. Its total DFT energy (no corrections) is -8.386 eV per atom. The calculation puts the formation enthalpy at 0 K at -0.433 eV/atom. As for the space group: P2/m (10).

---

Compound: CoPb2N
Source: Alexandria
Functional: PBE
Structure: optimized geometry

The structure in POSCAR format:
```
CoPb2N
1.0
-3.0955 3.0955 4.2527
3.0955 -3.0955 4.2527
3.0955 3.0955 -4.2527
Co Pb N
2 4 2
Direct
0.0000 0.0000 0.0000
0.7500 0.2500 0.5000
0.1598 0.6250 0.0348
0.3750 0.4098 0.5348
0.5902 0.1250 0.9652
0.8750 0.8402 0.4652
0.2500 0.7500 0.5000
0.5000 0.5000 0.0000
```

Computed properties:
The density of states at the Fermi level comes out at 0.03 states/eV/f.u. The value obtained for the size of the total moment is 0.000 μB per atom. Its total DFT energy (no corrections) is -4.864 eV per atom. Its formation energy without anion corrections is 0.848 eV per atom. As for the space group: I-42d (122).

---

- The highest size of the total moment belongs to which entry?
  AcPu5Au6

---

- Which of these has the lowest total DFT energy (no corrections)?
  AcPu5Au6

---

What did the first record say?
Compound: ScHRh3
Source: Alexandria
Functional: PBE
Structure: optimized geometry

The structure in POSCAR format:
```
ScHRh3
1.0
4.8886 -2.8304 0.0000
4.8886 2.8304 0.0000
-3.2363 0.0000 4.6202
Sc H Rh
2 2 6
Direct
0.0000 0.0000 0.0000
0.5030 0.5030 0.4972
0.1471 0.1471 0.8532
0.2895 0.2895 0.7127
0.5079 0.5079 0.0046
0.5075 0.9959 0.4923
0.5191 0.9946 0.0056
0.9946 0.5191 0.0056
0.9946 0.9946 0.4811
0.9959 0.5075 0.4923
```

Computed properties:
The density of states at the Fermi level comes out at 4.03 states/eV/f.u. The value obtained for the size of the total moment is 0.000 μB per atom. Its total DFT energy (no corrections) is -6.877 eV per atom. As for the space group: Cm (8).

---

- What is the total DFT energy (no corrections) in the second record?
  -5.272 eV per atom